[1]
Below is an optimized crystal structure of La3ZnH3, with properties calculated at the PBE level.

Calculated values
Space-group type ... Pm-3n, No. 223
DFT total energy ... -4.03 eV/atom
Crystal system ... cubic

extended XYZ file:
```
14
Lattice="6.630 0.000 0.000 0.000 6.630 0.000 0.000 0.000 6.630" Properties=species:S:1:pos:R:3 pbc="T T T"
La 0.000 1.658 3.315
La 0.000 4.973 3.315
La 1.658 3.315 0.000
La 3.315 0.000 1.658
La 3.315 0.000 4.973
La 4.973 3.315 0.000
Zn 0.000 0.000 0.000
Zn 3.315 3.315 3.315
H 0.000 3.315 1.658
H 0.000 3.315 4.973
H 1.658 0.000 3.315
H 3.315 1.658 0.000
H 3.315 4.973 0.000
H 4.973 0.000 3.315
```

***

[2]
Below is an optimized crystal structure of Cs3NdHo2S6, with properties calculated at the PBE level.

Calculated values
Space-group type ... C2/m, No. 12
Energy relative to the elements, uncorrected ... -175.7 kJ per mole of atoms
Crystal system ... monoclinic

extended XYZ file:
```
12
Lattice="3.588 -6.215 0.000 3.588 6.215 0.000 -2.393 0.000 8.074" Properties=species:S:1:pos:R:3 pbc="T T T"
Cs 0.000 0.000 0.000
Cs 3.588 2.056 0.000
Cs 3.588 -2.056 0.000
Nd 2.392 0.000 4.037
Ho 2.392 4.142 4.037
Ho 2.392 -4.142 4.037
S 1.162 2.131 2.561
S -0.068 0.000 5.509
S 1.162 -2.131 2.561
S 3.622 2.131 5.514
S 4.852 0.000 2.565
S 3.622 -2.131 5.514
```